An optimized crystal structure of ZnCoRh2, computed with PBE.

Geometry as POSCAR:
```
ZnCoRh2
1.0
-2.228 4.110 -1.859
-4.771 0.767 1.402
4.809 -0.449 1.410
Zn Rh Co
1 2 1
Direct
0.750 0.250 0.500 Zn
0.002 0.002 0.000 Rh
0.498 0.498 0.000 Rh
0.250 0.750 0.500 Co
```

Summary:
* uncorrected energy: -0.4234 Ry/atom
* ΔH_f (0 K): 1.0 kJ/mol of atoms
* space group: Immm
* D(E_F): 4.51 states/eV/f.u.

An optimized crystal structure of ZnCoRh2, computed with PBE.

Geometry as POSCAR:
```
ZnCoRh2
1.0
-2.424 7.551 -3.190
-2.196 6.148 -5.518
-4.503 6.020 -4.068
Rh Zn Co
2 1 1
Direct
0.498 0.498 0.498 Rh
0.002 0.002 0.002 Rh
0.250 0.250 0.250 Zn
0.750 0.750 0.750 Co
```

Summary:
* uncorrected energy: -0.4298 Ry/atom
* ΔH_f (0 K): -7.4 kJ/mol of atoms
* space group: R-3m
* D(E_F): 3.16 states/eV/f.u.

An optimized crystal structure of Zn2CoRh, computed with PBE.

Geometry as POSCAR:
```
Zn2CoRh
1.0
8.741 0.002 0.001
8.322 2.674 0.001
8.322 1.305 2.334
Zn Co Rh
2 1 1
Direct
0.003 0.003 0.003 Zn
0.244 0.244 0.244 Zn
0.498 0.498 0.498 Co
0.754 0.754 0.754 Rh
```

Summary:
* uncorrected energy: -0.3138 Ry/atom
* ΔH_f (0 K): -1.8 kJ/mol of atoms
* space group: R3m
* D(E_F): 4.52 states/eV/f.u.

An optimized crystal structure of ZnCoRh2, computed with PBE.

Geometry as POSCAR:
```
ZnCoRh2
1.0
-0.544 -4.483 -0.226
2.058 -3.962 -0.712
1.051 -1.130 4.427
Rh Zn Co
2 1 1
Direct
0.998 0.998 0.005 Rh
0.502 0.502 0.495 Rh
0.750 0.750 0.750 Zn
0.250 0.250 0.250 Co
```

Summary:
* uncorrected energy: -0.4298 Ry/atom
* ΔH_f (0 K): -7.4 kJ/mol of atoms
* space group: C2/m
* D(E_F): 4.48 states/eV/f.u.

An optimized crystal structure of Zn2CoRh, computed with PBE.

Geometry as POSCAR:
```
Zn2CoRh
1.0
4.480 -0.005 0.023
3.629 2.627 0.023
0.912 0.295 4.501
Zn Rh Co
2 1 1
Direct
0.003 0.003 0.994 Zn
0.497 0.497 0.506 Zn
0.250 0.250 0.250 Rh
0.750 0.750 0.750 Co
```

Summary:
* uncorrected energy: -0.3196 Ry/atom
* ΔH_f (0 K): -9.4 kJ/mol of atoms
* space group: C2/m
* D(E_F): 4.34 states/eV/f.u.

An optimized crystal structure of Zn2CoRh, computed with PBE.

Geometry as POSCAR:
```
Zn2CoRh
1.0
-3.036 1.451 -2.540
-3.924 0.476 1.464
-1.575 3.865 0.591
Co Rh Zn
1 1 2
Direct
0.500 0.500 0.500 Co
0.750 0.750 0.750 Rh
0.250 0.250 0.250 Zn
0.000 0.000 0.000 Zn
```

Summary:
* uncorrected energy: -0.3182 Ry/atom
* ΔH_f (0 K): -7.5 kJ/mol of atoms
* space group: F-43m
* D(E_F): 4.20 states/eV/f.u.

An optimized crystal structure of Zn2CoRh, computed with PBE.

Geometry as POSCAR:
```
Zn2CoRh
1.0
-0.219 -2.277 -1.679
-1.425 -1.366 2.039
-5.741 2.350 -2.439
Zn Rh Co
2 1 1
Direct
0.500 0.500 0.270 Zn
0.000 0.000 0.993 Zn
0.500 0.500 0.737 Rh
0.000 0.000 0.500 Co
```

Summary:
* uncorrected energy: -0.3197 Ry/atom
* ΔH_f (0 K): -9.4 kJ/mol of atoms
* space group: P4mm
* D(E_F): 1.77 states/eV/f.u.

An optimized crystal structure of Zn2CoRh, computed with PBE.

Geometry as POSCAR:
```
Zn2CoRh
1.0
8.397 0.011 0.006
7.948 2.708 0.006
7.948 1.322 2.364
Zn Rh Co
2 1 1
Direct
0.502 0.502 0.502 Zn
0.998 0.998 0.998 Zn
0.750 0.750 0.750 Rh
0.250 0.250 0.250 Co
```

Summary:
* uncorrected energy: -0.3182 Ry/atom
* ΔH_f (0 K): -7.5 kJ/mol of atoms
* space group: R-3m
* D(E_F): 4.12 states/eV/f.u.

An optimized crystal structure of Zn2CoRh, computed with PBE.

Geometry as POSCAR:
```
Zn2CoRh
1.0
2.657 0.001 0.000
-1.183 2.380 0.000
0.000 0.000 8.658
Zn Rh Co
2 1 1
Direct
0.500 0.500 0.260 Zn
0.000 0.000 0.996 Zn
0.500 0.500 0.743 Rh
0.000 0.000 0.501 Co
```

Summary:
* uncorrected energy: -0.3082 Ry/atom
* ΔH_f (0 K): 5.6 kJ/mol of atoms
* space group: Cmm2
* D(E_F): 4.17 states/eV/f.u.

An optimized crystal structure of ZnCo2Rh9, computed with PBE.

Geometry as POSCAR:
```
ZnCo2Rh9
1.0
3.798 0.000 0.000
0.000 3.798 0.000
0.000 0.000 11.454
Rh Zn Co
9 1 2
Direct
0.000 0.500 0.828 Rh
0.000 0.500 0.500 Rh
0.500 0.500 0.336 Rh
0.500 0.500 0.000 Rh
0.500 0.000 0.500 Rh
0.500 0.000 0.172 Rh
0.500 0.000 0.828 Rh
0.000 0.500 0.172 Rh
0.500 0.500 0.664 Rh
0.000 0.000 0.000 Zn
0.000 0.000 0.332 Co
0.000 0.000 0.668 Co
```

Summary:
* uncorrected energy: -0.5011 Ry/atom
* ΔH_f (0 K): -1.3 kJ/mol of atoms
* space group: P4/mmm
* D(E_F): 15.73 states/eV/f.u.

An optimized crystal structure of Zn2CoRh, computed with PBE.

Geometry as POSCAR:
```
Zn2CoRh
1.0
4.929 0.098 0.356
4.097 2.741 0.356
1.439 0.453 4.163
Zn Co Rh
2 1 1
Direct
0.997 0.997 0.067 Zn
0.756 0.756 0.678 Zn
0.503 0.503 0.568 Co
0.244 0.244 0.188 Rh
```

Summary:
* uncorrected energy: -0.3213 Ry/atom
* ΔH_f (0 K): -11.6 kJ/mol of atoms
* space group: Cm
* D(E_F): 4.72 states/eV/f.u.

An optimized crystal structure of ZnCoRh2, computed with PBE.

Geometry as POSCAR:
```
ZnCoRh2
1.0
-1.132 2.062 1.239
-1.191 -2.367 0.212
4.698 -1.723 7.158
Zn Co Rh
1 1 2
Direct
0.000 0.000 0.506 Zn
0.500 0.500 0.748 Co
0.000 0.000 0.989 Rh
0.500 0.500 0.257 Rh
```

Summary:
* uncorrected energy: -0.4160 Ry/atom
* ΔH_f (0 K): 10.7 kJ/mol of atoms
* space group: Cmm2
* D(E_F): 6.14 states/eV/f.u.

An optimized crystal structure of ZnCoRh2, computed with PBE.

Geometry as POSCAR:
```
ZnCoRh2
1.0
2.718 0.000 0.000
0.000 3.762 0.000
0.000 0.000 5.254
Co Zn Rh
1 1 2
Direct
0.500 0.500 0.757 Co
0.000 0.000 0.499 Zn
0.000 0.000 0.984 Rh
0.500 0.500 0.261 Rh
```

Summary:
* uncorrected energy: -0.4275 Ry/atom
* ΔH_f (0 K): -4.4 kJ/mol of atoms
* space group: Pmm2
* D(E_F): 5.91 states/eV/f.u.

An optimized crystal structure of ZnCo3Rh, computed with PBE.

Geometry as POSCAR:
```
ZnCo3Rh
1.0
4.252 0.000 0.000
0.000 4.252 0.000
0.000 0.000 4.252
Rh Co Zn
1 3 1
Direct
0.500 0.500 0.500 Rh
0.000 0.500 0.000 Co
0.000 0.000 0.500 Co
0.500 0.000 0.000 Co
0.000 0.000 0.000 Zn
```

Summary:
* uncorrected energy: -0.3467 Ry/atom
* E above lowest polymorph: 0 meV/atom
* ΔH_f (0 K): 122.7 kJ/mol of atoms
* space group: Pm-3m
* D(E_F): 8.48 states/eV/f.u.

An optimized crystal structure of Zn2CoRh, computed with PBE.

Geometry as POSCAR:
```
Zn2CoRh
1.0
-0.307 -4.151 -0.283
1.176 -0.359 3.986
-2.871 0.154 0.861
Co Zn Rh
1 2 1
Direct
0.500 0.000 0.500 Co
0.500 0.500 0.000 Zn
0.000 0.000 0.000 Zn
0.000 0.500 0.500 Rh
```

Summary:
* uncorrected energy: -0.3245 Ry/atom
* ΔH_f (0 K): -15.8 kJ/mol of atoms
* space group: P4/mmm
* D(E_F): 5.51 states/eV/f.u.

An optimized crystal structure of Zn2CoRh, computed with PBE.

Geometry as POSCAR:
```
Zn2CoRh
1.0
2.983 0.000 0.000
0.000 2.982 0.000
0.000 0.000 5.838
Rh Zn Co
1 2 1
Direct
0.500 0.500 0.750 Rh
0.000 0.000 0.489 Zn
0.000 0.000 0.011 Zn
0.500 0.500 0.250 Co
```

Summary:
* uncorrected energy: -0.3248 Ry/atom
* ΔH_f (0 K): -16.2 kJ/mol of atoms
* space group: P4/mmm
* D(E_F): 5.00 states/eV/f.u.

An optimized crystal structure of ZnCo3Rh, computed with PBE.

Geometry as POSCAR:
```
ZnCo3Rh
1.0
-1.534 -0.832 -4.180
4.138 -1.353 -1.250
-1.019 -4.242 1.219
Co Zn Rh
3 1 1
Direct
0.500 0.000 0.000 Co
0.000 0.500 0.000 Co
0.000 0.000 0.500 Co
0.500 0.500 0.500 Zn
0.000 0.000 0.000 Rh
```

Summary:
* uncorrected energy: -0.3448 Ry/atom
* E above lowest polymorph: 25 meV/atom
* ΔH_f (0 K): 125.2 kJ/mol of atoms
* space group: Pm-3m
* D(E_F): 5.38 states/eV/f.u.

An optimized crystal structure of ZnCoRh2, computed with PBE.

Geometry as POSCAR:
```
ZnCoRh2
1.0
-1.324 -0.952 2.176
1.317 -1.506 1.841
2.000 6.148 5.607
Rh Zn Co
2 1 1
Direct
0.252 0.252 0.245 Rh
0.082 0.082 0.755 Rh
0.500 0.500 0.500 Zn
0.667 0.667 0.000 Co
```

Summary:
* uncorrected energy: -0.4312 Ry/atom
* ΔH_f (0 K): -9.3 kJ/mol of atoms
* space group: R3m
* D(E_F): 3.58 states/eV/f.u.

An optimized crystal structure of Zn4CoRh, computed with PBE.

Geometry as POSCAR:
```
Zn4CoRh
1.0
2.825 2.822 2.783
-1.475 1.277 4.459
2.200 -1.869 3.919
Zn Co Rh
4 1 1
Direct
0.875 0.375 0.375 Zn
0.375 0.875 0.375 Zn
0.375 0.375 0.375 Zn
0.375 0.375 0.875 Zn
0.750 0.750 0.750 Co
0.000 0.000 0.000 Rh
```

Summary:
* uncorrected energy: -0.2371 Ry/atom
* ΔH_f (0 K): 3.2 kJ/mol of atoms
* space group: F-43m
* D(E_F): 7.76 states/eV/f.u.

An optimized crystal structure of ZnCoRh2, computed with PBE.

Geometry as POSCAR:
```
ZnCoRh2
1.0
-2.485 -1.608 6.023
-2.584 -5.635 -2.570
-0.299 -4.910 2.305
Rh Zn Co
4 2 2
Direct
0.375 0.397 0.750 Rh
0.603 0.125 0.250 Rh
0.875 0.853 0.750 Rh
0.147 0.625 0.250 Rh
0.000 0.000 0.000 Zn
0.750 0.250 0.500 Zn
0.500 0.500 0.000 Co
0.250 0.750 0.500 Co
```

Summary:
* uncorrected energy: -0.3990 Ry/atom
* ΔH_f (0 K): 33.0 kJ/mol of atoms
* space group: I-42d
* D(E_F): 3.40 states/eV/f.u.